Below is a relaxed HgPdSN2 crystal, with properties calculated at the GGA-PBE level.

- ΔE_f (raw) (kJ per mole of atoms) = 202.26
- ΔE to the lowest computed polymorph (eV per atom) = 0.740
- mass density (g/cm³) = 6.46

```
HgPdSN2
1.0
4.135 0.000 0.000
0.000 4.135 0.000
0.000 0.000 5.517
Hg Pd S N
1 1 1 2
Direct
0.000 0.000 0.000
0.500 0.500 0.500
0.000 0.000 0.500
0.000 0.500 0.000
0.500 0.000 0.000
```